Entry 1:
Here is a crystal of TaFe6Si relaxed with PBEsol from Alexandria via LeMat-Bulk. Energies are from SCAN.

ΔE_f (raw)	-143	meV per atom
space group	Cmmm (65)
VASP energy	-23.31	eV/atom

```
data_TaFe6Si
_chemical_formula_sum 'Ta4 Fe24 Si4'
_cell_length_a 5.788
_cell_length_b 6.316
_cell_length_c 11.204
_cell_angle_alpha 90.00
_cell_angle_beta 90.00
_cell_angle_gamma 117.27
_space_group_name_H-M_alt 'P 1'
_space_group_IT_number 1
loop_
_space_group_symop_operation_xyz
'x,y,z'
loop_
_atom_site_label
_atom_site_type_symbol
_atom_site_fract_x
_atom_site_fract_y
_atom_site_fract_z
_atom_site_occupancy
Fe1 Fe 0.750 0.499 0.256 1
Fe2 Fe 0.116 0.755 0.131 1
Fe3 Fe 0.884 0.245 0.131 1
Fe4 Fe 0.250 0.501 0.256 1
Fe5 Fe 0.638 0.755 0.131 1
Fe6 Fe 0.362 0.245 0.131 1
Fe7 Fe 0.500 0.000 0.500 1
Fe8 Fe 0.887 0.258 0.381 1
Fe9 Fe 0.629 0.742 0.381 1
Fe10 Fe 0.750 0.499 0.744 1
Fe11 Fe 0.113 0.742 0.619 1
Fe12 Fe 0.887 0.258 0.619 1
Fe13 Fe 0.250 0.501 0.744 1
Fe14 Fe 0.629 0.742 0.619 1
Fe15 Fe 0.371 0.258 0.619 1
Fe16 Fe 0.500 0.000 0.000 1
Fe17 Fe 0.884 0.245 0.869 1
Fe18 Fe 0.638 0.755 0.869 1
Fe19 Fe 0.000 0.000 0.500 1
Fe20 Fe 0.371 0.258 0.381 1
Fe21 Fe 0.113 0.742 0.381 1
Fe22 Fe 0.000 0.000 0.000 1
Fe23 Fe 0.362 0.245 0.869 1
Fe24 Fe 0.116 0.755 0.869 1
Si1 Si 0.744 0.488 0.500 1
Si2 Si 0.256 0.512 0.500 1
Si3 Si 0.000 0.000 0.260 1
Si4 Si 0.000 0.000 0.740 1
Ta1 Ta 0.744 0.489 0.000 1
Ta2 Ta 0.256 0.511 0.000 1
Ta3 Ta 0.500 0.000 0.257 1
Ta4 Ta 0.500 0.000 0.743 1
```


Entry 2:
Here is a crystal of TaFeSi2 relaxed with PBEsol from Alexandria via LeMat-Bulk. Energies are from SCAN.

ΔE_f (raw)	152	meV per atom
space group	F-43m (216)
VASP energy	-26.03	eV/atom

```
data_TaFeSi2
_chemical_formula_sum 'Ta1 Fe1 Si2'
_cell_length_a 4.228
_cell_length_b 4.228
_cell_length_c 4.228
_cell_angle_alpha 60.00
_cell_angle_beta 60.00
_cell_angle_gamma 60.00
_space_group_name_H-M_alt 'P 1'
_space_group_IT_number 1
loop_
_space_group_symop_operation_xyz
'x,y,z'
loop_
_atom_site_label
_atom_site_type_symbol
_atom_site_fract_x
_atom_site_fract_y
_atom_site_fract_z
_atom_site_occupancy
Fe1 Fe 0.500 0.500 0.500 1
Si1 Si 0.000 0.000 0.000 1
Si2 Si 0.250 0.250 0.250 1
Ta1 Ta 0.750 0.750 0.750 1
```


Entry 3:
Here is a crystal of TaFeSi2 relaxed with PBEsol from Alexandria via LeMat-Bulk. Energies are from SCAN.

ΔE_f (raw)	-89	meV per atom
space group	Pmmm (47)
VASP energy	-26.28	eV/atom

```
data_TaFeSi2
_chemical_formula_sum 'Ta1 Fe1 Si2'
_cell_length_a 3.599
_cell_length_b 3.691
_cell_length_c 3.893
_cell_angle_alpha 90.00
_cell_angle_beta 90.00
_cell_angle_gamma 90.00
_space_group_name_H-M_alt 'P 1'
_space_group_IT_number 1
loop_
_space_group_symop_operation_xyz
'x,y,z'
loop_
_atom_site_label
_atom_site_type_symbol
_atom_site_fract_x
_atom_site_fract_y
_atom_site_fract_z
_atom_site_occupancy
Fe1 Fe 0.500 0.000 0.500 1
Si1 Si 0.000 0.000 0.000 1
Si2 Si 0.000 0.500 0.500 1
Ta1 Ta 0.500 0.500 0.000 1
```